1.
Computed, not measured: a relaxed structure of HfBi2B at the PBE-GGA level of DFT.

Lattice parameters (Å, degrees): 7.2137 7.2137 6.2458 54.73 54.73 90.00
Last column: nearest neighbours and their distance in Å.
Element x y z (fractional)
B (0.5000, 0.5000, 0.0000)  4 Bi 2.39
B (0.2500, 0.7500, 0.5000)  4 Bi 2.39
Hf (0.0000, 0.0000, 0.0000)  4 Bi 3.08
Hf (0.7500, 0.2500, 0.5000)  4 Bi 3.08
Bi (0.5531, 0.1250, 0.2500)  2 B 2.39
Bi (0.1969, 0.6250, 0.2500)  2 B 2.39
Bi (0.3750, 0.4469, 0.7500)  2 B 2.39
Bi (0.8750, 0.8031, 0.7500)  2 B 2.39

Properties
Calculated volume: 187.6 Å³ per cell
Space group: I-42d, No. 122
Total magnetic moment: 0.0 μB per formula unit
Calculated formation energy: 18.9 kcal/mol of atoms



2.
Computed, not measured: a relaxed structure of VSnSb at the PBE-GGA level of DFT.

Lattice parameters (Å, degrees): 3.5729 3.5729 5.3588 109.47 109.47 90.00
Last column: nearest neighbours and their distance in Å.
Element x y z (fractional)
Sb (0.3154, 0.3154, 0.6308)  4 V 2.85, 5 Sn 2.90-3.12
Sn (0.0087, 0.0087, 0.0175)  5 Sb 2.90-3.12, 5 V 2.98-3.15
V (0.6758, 0.6758, 0.3517)  4 Sb 2.85, 5 Sn 2.98-3.15

Properties
Electronic total energy: -16.9 eV per formula unit
Calculated volume: 60.3 Å³ per cell
Space group: I4mm, No. 107
Total magnetic moment: 0.0 μB per formula unit



3.
Computed, not measured: a relaxed structure of CuB3N at the PBE-GGA level of DFT.

Lattice parameters (Å, degrees): 3.7735 3.7735 3.7735 90.00 90.00 90.00
Last column: nearest neighbours and their distance in Å.
Element x y z (fractional)
B (0.0000, 0.5000, 0.0000)  2 Cu 1.89
B (0.0000, 0.0000, 0.5000)  2 Cu 1.89
B (0.5000, 0.0000, 0.0000)  2 Cu 1.89
Cu (0.0000, 0.0000, 0.0000)  6 B 1.89
N (0.5000, 0.5000, 0.5000)  12 B 2.67

Properties
Energy above the most stable polymorph in this dataset: 3.22 eV/f.u.
Calculated volume: 53.7 Å³ per cell
Space group: Pm-3m, No. 221
Total magnetic moment: 1.0 μB per formula unit



4.
Computed, not measured: a relaxed structure of GaPI3 at the PBE-GGA level of DFT.

Lattice parameters (Å, degrees): 5.5961 5.5961 5.5961 90.00 90.00 90.00
Last column: nearest neighbours and their distance in Å.
Element x y z (fractional)
I (0.0000, 0.5000, 0.0000)  2 P 2.80
I (0.0000, 0.0000, 0.5000)  2 P 2.80
I (0.5000, 0.0000, 0.0000)  2 P 2.80
P (0.0000, 0.0000, 0.0000)  6 I 2.80
Ga (0.5000, 0.5000, 0.5000)  12 I 3.96

Properties
Energy above the most stable polymorph in this dataset: 0.00 eV/f.u.
Calculated volume: 175.2 Å³ per cell
Space group: Pm-3m, No. 221
Total magnetic moment: 0.0 μB per formula unit



5.
Computed, not measured: a relaxed structure of AgMo2Au at the PBE-GGA level of DFT.

Lattice parameters (Å, degrees): 6.0604 5.2515 2.7097 90.03 63.38 117.48
Last column: nearest neighbours and their distance in Å.
Element x y z (fractional)
Ag (0.0000, 0.5000, 0.5000)  2 Au 2.71, 2 Ag 2.71, 8 Mo 2.95-2.96
Au (0.5000, 0.5000, 0.0000)  2 Ag 2.71, 2 Au 2.71, 8 Mo 2.95-2.96
Mo (0.0000, 0.0000, 0.0000)  4 Mo 2.71, 4 Ag 2.95-2.96, 4 Au 2.95-2.96
Mo (0.5000, 0.0000, 0.5000)  4 Mo 2.71, 4 Au 2.95-2.96, 4 Ag 2.95-2.96

Properties
Energy above the most stable polymorph in this dataset: 0.77 eV/f.u.
Calculated volume: 66.0 Å³ per cell
Space group: Cmmm, No. 65
Total magnetic moment: 0.0 μB per formula unit
Calculated formation energy: 9.2 kcal/mol of atoms



6.
Computed, not measured: a relaxed structure of LiTcB2 at the PBE-GGA level of DFT.

Lattice parameters (Å, degrees): 3.7233 3.7233 3.7233 60.00 60.00 60.00
Last column: nearest neighbours and their distance in Å.
Element x y z (fractional)
B (0.2500, 0.2500, 0.2500)  4 Tc 2.28, 4 Li 2.28
B (0.7500, 0.7500, 0.7500)  4 Tc 2.28, 4 Li 2.28
Tc (0.5000, 0.5000, 0.5000)  8 B 2.28
Li (0.0000, 0.0000, 0.0000)  8 B 2.28

Properties
Energy above the most stable polymorph in this dataset: 0.00 eV/f.u.
Calculated volume: 36.5 Å³ per cell
Space group: Fm-3m, No. 225
Total magnetic moment: 0.0 μB per formula unit
Calculated formation energy: 7.9 kcal/mol of atoms



7.
Computed, not measured: a relaxed structure of Dy2AgSb4 at the PBE-GGA level of DFT.

Lattice parameters (Å, degrees): 4.3986 4.3986 9.6919 90.00 90.00 90.00
Last column: nearest neighbours and their distance in Å.
Element x y z (fractional)
Dy (0.5000, 0.0000, 0.7512)  8 Sb 3.21-3.28, 2 Ag 3.26
Dy (0.0000, 0.5000, 0.2488)  8 Sb 3.21-3.28, 2 Ag 3.26
Ag (0.5000, 0.5000, 0.0000)  4 Sb 2.74
Sb (0.5000, 0.0000, 0.1689)  2 Ag 2.74
Sb (0.0000, 0.5000, 0.8311)  2 Ag 2.74
Sb (0.5000, 0.5000, 0.5000)  4 Sb 3.11, 4 Dy 3.28
Sb (0.0000, 0.0000, 0.5000)  4 Sb 3.11, 4 Dy 3.28

Properties
Electronic total energy: -32.8 eV per formula unit
Calculated volume: 187.5 Å³ per cell
Space group: P-4m2, No. 115
Total magnetic moment: 0.0 μB per formula unit



8.
Computed, not measured: a relaxed structure of Hf8Ti3In3 at the PBE-GGA level of DFT.

Lattice parameters (Å, degrees): 5.0176 13.6690 8.5202 143.34 107.12 90.00
Last column: nearest neighbours and their distance in Å.
Element x y z (fractional)
Hf (0.3365, 0.1190, 0.6730)  6 Hf 2.86-3.07, 3 Ti 2.99-3.11
Hf (0.6635, 0.8810, 0.3270)  6 Hf 2.86-3.07, 3 Ti 2.99-3.11
Hf (0.3365, 0.5541, 0.6730)  6 Hf 2.86-3.07, 3 Ti 2.99-3.11
Hf (0.6635, 0.4459, 0.3270)  6 Hf 2.86-3.07, 3 Ti 2.99-3.11
Hf (0.1786, 0.7786, 0.3571)  4 Hf 2.73-2.98
Hf (0.8214, 0.2214, 0.6429)  4 Hf 2.73-2.98
Hf (0.1786, 0.5786, 0.3571)  4 Hf 2.73-2.98
Hf (0.8214, 0.4214, 0.6429)  4 Hf 2.73-2.98
Ti (0.5000, 0.0000, 0.0000)  4 In 2.93, 4 Hf 3.16
Ti (0.0000, 0.8012, 0.0000)  8 Hf 2.99-3.17, 2 In 3.12
Ti (0.0000, 0.1988, 0.0000)  8 Hf 2.99-3.17, 2 In 3.12
In (0.5000, 0.5000, 0.0000)  2 In 2.90
In (0.1720, 0.1720, 0.3439)  2 In 2.90-3.04, 4 Ti 2.93-3.12, 4 Hf 3.15
In (0.8280, 0.8280, 0.6561)  2 In 2.90-3.04, 4 Ti 2.93-3.12, 4 Hf 3.15

Properties
Calculated volume: 303.6 Å³ per cell
Space group: Immm, No. 71
Total magnetic moment: 1.1 μB per formula unit
Calculated formation energy: 3.5 kcal/mol of atoms